1.
# Ca5Ce3Hg12 | Alexandria | PBE | optimized geometry
# space group = Ia-3d (230)
# E_form = -0.090 eV per atom
data_Ca5Ce3Hg12
_symmetry_space_group_name_H-M 'P 1'
_symmetry_Int_Tables_number 1
_cell_length_a 15.479
_cell_length_b 15.479
_cell_length_c 15.479
_cell_angle_alpha 109.47
_cell_angle_beta 109.47
_cell_angle_gamma 109.47
loop_
_symmetry_equiv_pos_as_xyz
'x,y,z'
loop_
_atom_site_label
_atom_site_type_symbol
_atom_site_fract_x
_atom_site_fract_y
_atom_site_fract_z
Ca1 Ca 0.000 0.000 0.000
Ca2 Ca 0.000 0.000 0.500
Ca3 Ca 0.000 0.500 0.000
Ca4 Ca 0.000 0.500 0.500
Ca5 Ca 0.125 0.750 0.875
Ca6 Ca 0.125 0.875 0.250
Ca7 Ca 0.250 0.125 0.875
Ca8 Ca 0.250 0.625 0.375
Ca9 Ca 0.375 0.250 0.625
Ca10 Ca 0.375 0.625 0.750
Ca11 Ca 0.500 0.000 0.000
Ca12 Ca 0.500 0.000 0.500
Ca13 Ca 0.500 0.500 0.000
Ca14 Ca 0.500 0.500 0.500
Ca15 Ca 0.625 0.375 0.250
Ca16 Ca 0.625 0.750 0.375
Ca17 Ca 0.750 0.375 0.625
Ca18 Ca 0.750 0.875 0.125
Ca19 Ca 0.875 0.125 0.750
Ca20 Ca 0.875 0.250 0.125
Ce1 Ce 0.125 0.250 0.375
Ce2 Ce 0.125 0.375 0.750
Ce3 Ce 0.250 0.375 0.125
Ce4 Ce 0.250 0.875 0.625
Ce5 Ce 0.375 0.125 0.250
Ce6 Ce 0.375 0.750 0.125
Ce7 Ce 0.625 0.250 0.875
Ce8 Ce 0.625 0.875 0.750
Ce9 Ce 0.750 0.125 0.375
Ce10 Ce 0.750 0.625 0.875
Ce11 Ce 0.875 0.625 0.250
Ce12 Ce 0.875 0.750 0.625
Hg1 Hg 0.071 0.228 0.148
Hg2 Hg 0.071 0.343 0.923
Hg3 Hg 0.077 0.648 0.421
Hg4 Hg 0.077 0.929 0.657
Hg5 Hg 0.079 0.728 0.657
Hg6 Hg 0.079 0.852 0.423
Hg7 Hg 0.148 0.071 0.228
Hg8 Hg 0.148 0.577 0.921
Hg9 Hg 0.157 0.228 0.579
Hg10 Hg 0.157 0.429 0.577
Hg11 Hg 0.228 0.148 0.071
Hg12 Hg 0.228 0.579 0.157
Hg13 Hg 0.272 0.343 0.921
Hg14 Hg 0.272 0.429 0.352
Hg15 Hg 0.343 0.921 0.272
Hg16 Hg 0.343 0.923 0.071
Hg17 Hg 0.352 0.272 0.429
Hg18 Hg 0.352 0.579 0.923
Hg19 Hg 0.421 0.077 0.648
Hg20 Hg 0.421 0.843 0.772
Hg21 Hg 0.423 0.079 0.852
Hg22 Hg 0.423 0.843 0.571
Hg23 Hg 0.429 0.352 0.272
Hg24 Hg 0.429 0.577 0.157
Hg25 Hg 0.571 0.423 0.843
Hg26 Hg 0.571 0.648 0.728
Hg27 Hg 0.577 0.157 0.429
Hg28 Hg 0.577 0.921 0.148
Hg29 Hg 0.579 0.157 0.228
Hg30 Hg 0.579 0.923 0.352
Hg31 Hg 0.648 0.421 0.077
Hg32 Hg 0.648 0.728 0.571
Hg33 Hg 0.657 0.077 0.929
Hg34 Hg 0.657 0.079 0.728
Hg35 Hg 0.728 0.571 0.648
Hg36 Hg 0.728 0.657 0.079
Hg37 Hg 0.772 0.421 0.843
Hg38 Hg 0.772 0.852 0.929
Hg39 Hg 0.843 0.571 0.423
Hg40 Hg 0.843 0.772 0.421
Hg41 Hg 0.852 0.423 0.079
Hg42 Hg 0.852 0.929 0.772
Hg43 Hg 0.921 0.148 0.577
Hg44 Hg 0.921 0.272 0.343
Hg45 Hg 0.923 0.071 0.343
Hg46 Hg 0.923 0.352 0.579
Hg47 Hg 0.929 0.657 0.077
Hg48 Hg 0.929 0.772 0.852

---

2.
# Ac2GdH | Alexandria | PBE | optimized geometry
# space group = P4/mmm (123)
# total energy = -25.074 eV/cell
data_Ac2GdH
_symmetry_space_group_name_H-M 'P 1'
_symmetry_Int_Tables_number 1
_cell_length_a 3.687
_cell_length_b 3.687
_cell_length_c 9.092
_cell_angle_alpha 90.00
_cell_angle_beta 90.00
_cell_angle_gamma 90.00
loop_
_symmetry_equiv_pos_as_xyz
'x,y,z'
loop_
_atom_site_label
_atom_site_type_symbol
_atom_site_fract_x
_atom_site_fract_y
_atom_site_fract_z
Ac1 Ac 0.000 0.000 0.197
Ac2 Ac 0.000 0.000 0.803
Gd1 Gd 0.500 0.500 0.500
H1 H 0.500 0.500 0.000

---

3.
# GaPb3Se2F6 | Alexandria | PBE | optimized geometry
# ΔE_f (raw) = -1.73 eV/atom
# space group = C2/m (12)
data_GaPb3Se2F6
_symmetry_space_group_name_H-M 'P 1'
_symmetry_Int_Tables_number 1
_cell_length_a 7.873
_cell_length_b 7.873
_cell_length_c 4.897
_cell_angle_alpha 94.04
_cell_angle_beta 94.04
_cell_angle_gamma 53.04
loop_
_symmetry_equiv_pos_as_xyz
'x,y,z'
loop_
_atom_site_label
_atom_site_type_symbol
_atom_site_fract_x
_atom_site_fract_y
_atom_site_fract_z
Ga1 Ga 0.000 0.000 0.000
Pb1 Pb 0.000 0.500 0.000
Pb2 Pb 0.500 0.000 0.000
Pb3 Pb 0.500 0.500 0.500
Se1 Se 0.305 0.305 0.535
Se2 Se 0.695 0.695 0.465
F1 F 0.128 0.128 0.174
F2 F 0.158 0.744 0.217
F3 F 0.256 0.842 0.783
F4 F 0.744 0.158 0.217
F5 F 0.842 0.256 0.783
F6 F 0.872 0.872 0.826